# 1
The following is a DFT calculation (GGA-PBE) of Ho3Sc2Sb3 after structural relaxation.

Cell lengths 8.7634, 8.7634, 6.0875 Å; angles 90.00, 90.00, 120.00 degrees
Closest atoms and distances in Å follow each position.
Fractional coordinates of all 16 atoms:
Ho 0.0000 0.2456 0.2500  5 Sb 3.03-3.31
Ho 0.0000 0.7544 0.7500  5 Sb 3.03-3.31
Ho 0.2456 0.0000 0.2500  5 Sb 3.03-3.31
Ho 0.2456 0.2456 0.7500  5 Sb 3.03-3.31
Ho 0.7544 0.0000 0.7500  5 Sb 3.03-3.31
Ho 0.7544 0.7544 0.2500  5 Sb 3.03-3.31
Sc 0.3333 0.6667 0.0000  2 Sc 3.04, 6 Sb 3.09
Sc 0.3333 0.6667 0.5000  2 Sc 3.04, 6 Sb 3.09
Sc 0.6667 0.3333 0.0000  2 Sc 3.04, 6 Sb 3.09
Sc 0.6667 0.3333 0.5000  2 Sc 3.04, 6 Sb 3.09
Sb 0.0000 0.3948 0.7500  5 Ho 3.03-3.31, 4 Sc 3.09
Sb 0.0000 0.6052 0.2500  5 Ho 3.03-3.31, 4 Sc 3.09
Sb 0.3948 0.0000 0.7500  5 Ho 3.03-3.31, 4 Sc 3.09
Sb 0.3948 0.3948 0.2500  5 Ho 3.03-3.31, 4 Sc 3.09
Sb 0.6052 0.0000 0.2500  5 Ho 3.03-3.31, 4 Sc 3.09
Sb 0.6052 0.6052 0.7500  5 Ho 3.03-3.31, 4 Sc 3.09

Summary:
The energy relative to the elements, uncorrected comes out at -0.91 eV/atom.

# 2
The following is a DFT calculation (GGA-PBE) of Ho3ScSb2 after structural relaxation.

Cell lengths 4.3950, 4.3950, 8.3042 Å; angles 90.00, 90.00, 90.00 degrees
Closest atoms and distances in Å follow each position.
Fractional coordinates of all 6 atoms:
Ho 0.0000 0.0000 0.0000  4 Sc 3.11, 4 Sb 3.17
Ho 0.0000 0.5000 0.6513  5 Sb 3.12-3.17
Ho 0.5000 0.0000 0.3487  5 Sb 3.12-3.17
Sc 0.5000 0.5000 0.0000  4 Ho 3.11, 4 Sb 3.17
Sb 0.0000 0.5000 0.2754  7 Ho 3.12-3.17, 2 Sc 3.17
Sb 0.5000 0.0000 0.7246  7 Ho 3.12-3.17, 2 Sc 3.17

Summary:
The energy relative to the elements, uncorrected comes out at -0.81 eV/atom.

# 3
The following is a DFT calculation (GGA-PBE) of Ho2ScSb after structural relaxation.

Cell lengths 4.0875, 7.6450, 7.8439 Å; angles 90.00, 105.01, 90.00 degrees
Closest atoms and distances in Å follow each position.
Fractional coordinates of all 8 atoms:
Ho 0.1232 0.0162 0.2482  3 Sb 3.11-3.15, 4 Sc 3.31-3.45
Ho 0.1232 0.4838 0.2482  3 Sb 3.11-3.15, 4 Sc 3.31-3.45
Ho 0.8768 0.5162 0.7518  3 Sb 3.11-3.15, 4 Sc 3.31-3.45
Ho 0.8768 0.9838 0.7518  3 Sb 3.11-3.15, 4 Sc 3.31-3.45
Sc 0.4835 0.2500 0.9670  1 Sb 2.91
Sc 0.5165 0.7500 0.0330  1 Sb 2.91
Sb 0.2931 0.2500 0.5835  1 Sc 2.91, 6 Ho 3.11-3.15
Sb 0.7069 0.7500 0.4165  1 Sc 2.91, 6 Ho 3.11-3.15

Summary:
The energy above the lowest structure with this stoichiometry is 0.079 eV per atom. The energy relative to the elements, uncorrected comes out at -0.42 eV/atom.

# 4
The following is a DFT calculation (GGA-PBE) of Ho2ScSb after structural relaxation.

Cell lengths 5.2810, 5.2810, 5.2810 Å; angles 60.00, 60.00, 60.00 degrees
Closest atoms and distances in Å follow each position.
Fractional coordinates of all 4 atoms:
Ho 0.2500 0.2500 0.2500  4 Sb 3.23, 4 Sc 3.23
Ho 0.7500 0.7500 0.7500  4 Sb 3.23, 4 Sc 3.23
Sc 0.0000 0.0000 0.0000  8 Ho 3.23
Sb 0.5000 0.5000 0.5000  8 Ho 3.23

Summary:
The energy above the lowest structure with this stoichiometry is 0.246 eV per atom. The energy relative to the elements, uncorrected comes out at -0.26 eV/atom.